Entry w
Crystalline Sr2TePb at its relaxed geometry, computed with GGA-PBE.

The structure belongs to space group Cm (No. 8); the cell edges are 12.8934, 4.1477 and 5.5011 Å and the angles 90.00°, 98.00° and 90.00°. The inequivalent atoms are Sr at (0.0000, 0.0000, 0.0000), Sr at (0.2485, 0.0000, 0.4891), Te at (0.0164, 0.5000, 0.5137) and Pb at (0.2349, 0.5000, 0.9767).

Entry x
Crystalline Sr2TePb at its relaxed geometry, computed with GGA-PBE.

The structure belongs to space group F-43m (No. 216); the cell edges are 8.2563, 8.2563 and 8.2563 Å and the angles 90.00°, 90.00° and 90.00°. The inequivalent atoms are Sr at (0.0000, 0.0000, 0.0000), Sr at (0.2500, 0.2500, 0.2500), Te at (0.2500, 0.2500, 0.7500) and Pb at (0.0000, 0.0000, 0.5000).

Entry y
Crystalline Sr2TePb at its relaxed geometry, computed with GGA-PBE.

The structure belongs to space group R-3m (No. 166, hexagonal axes); the cell edges are 4.4440, 4.4440 and 27.2945 Å and the angles 90.00°, 90.00° and 120.00°. The inequivalent atoms are Sr at (0.0000, 0.0000, 0.2417), Te at (0.0000, 0.0000, 0.5000) and Pb at (0.0000, 0.0000, 0.0000).

Entry z
Crystalline Sr2TePb at its relaxed geometry, computed with GGA-PBE.

The structure belongs to space group I-42d (No. 122); the cell edges are 8.9324, 8.9324 and 7.8103 Å and the angles 90.00°, 90.00° and 90.00°. The inequivalent atoms are Sr at (0.2367, 0.7500, 0.1250), Te at (0.0000, 0.0000, 0.0000) and Pb at (0.0000, 0.0000, 0.5000).

Most stable = entry y

Entry w
Crystalline SrThPb2 at its relaxed geometry, computed with GGA-PBE.

The structure belongs to space group R-3m (No. 166, hexagonal axes); the cell edges are 5.3459, 5.3459 and 16.3702 Å and the angles 90.00°, 90.00° and 120.00°. The inequivalent atoms are Sr at (0.0000, 0.0000, 0.0000), Th at (0.0000, 0.0000, 0.5000) and Pb at (0.0000, 0.0000, 0.2459).

Entry x
Crystalline SrThPb2 at its relaxed geometry, computed with GGA-PBE.

The structure belongs to space group P4/mmm (No. 123); the cell edges are 3.6767, 3.6767 and 9.4121 Å and the angles 90.00°, 90.00° and 90.00°. The inequivalent atoms are Sr at (0.0000, 0.0000, 0.0000), Th at (0.0000, 0.0000, 0.5000) and Pb at (0.5000, 0.5000, 0.2558).

Most stable = entry x

Entry w
Crystalline SrTiVPb2 at its relaxed geometry, computed with GGA-PBE.

The structure belongs to space group P4/mmm (No. 123); the cell edges are 5.8707, 5.8707 and 5.2143 Å and the angles 90.00°, 90.00° and 90.00°. The inequivalent atoms are Sr at (0.0000, 0.0000, 0.0000), Ti at (0.0000, 0.0000, 0.5000), V at (0.5000, 0.5000, 0.5000) and Pb at (0.0000, 0.5000, 0.0000).

Entry x
Crystalline SrTiVPb2 at its relaxed geometry, computed with GGA-PBE.

The structure belongs to space group P4/mmm (No. 123); the cell edges are 5.5082, 5.5082 and 4.5991 Å and the angles 90.00°, 90.00° and 90.00°. The inequivalent atoms are Sr at (0.0000, 0.0000, 0.0000), Ti at (0.5000, 0.5000, 0.5000), V at (0.5000, 0.5000, 0.0000) and Pb at (0.0000, 0.5000, 0.5000).

Most stable = entry x